Material: SrHgOF2
Method: DFT, PBEsol
State: relaxed

abc: 4.5298 4.5298 4.7612
angles: 90.00 90.00 90.00
Closest atoms and distances in Å follow each position.
Atoms (fractional coordinates):
Sr  0.0000  0.0000  0.0000  4 F 2.26, 2 O 2.38
Hg  0.5000  0.5000  0.5000  4 O 3.20, 8 F 3.29
O  0.0000  0.0000  0.5000  2 Sr 2.38
F  0.0000  0.5000  0.0000  2 Sr 2.26
F  0.5000  0.0000  0.0000  2 Sr 2.26

## Properties
uncorrected energy: -19.65 eV/cell
raw formation energy: -1.6287 eV/atom

---

Material: HgTe2O2F10
Method: DFT, PBEsol
State: relaxed

abc: 10.4748 10.4748 5.8311
angles: 95.51 95.51 50.39
Closest atoms and distances in Å follow each position.
Atoms (fractional coordinates):
Hg  0.1198  0.8802  0.7500  2 O 2.04
Hg  0.8802  0.1198  0.2500  2 O 2.04
Te  0.1259  0.6205  0.3410  5 F 1.85-1.88, 1 O 1.88
Te  0.3795  0.8741  0.1590  5 F 1.85-1.88, 1 O 1.88
Te  0.6205  0.1259  0.8410  5 F 1.85-1.88, 1 O 1.88
Te  0.8741  0.3795  0.6590  5 F 1.85-1.88, 1 O 1.88
O  0.0337  0.8379  0.4489  1 Te 1.88, 1 Hg 2.04
O  0.1621  0.9663  0.0511  1 Te 1.88, 1 Hg 2.04
O  0.8379  0.0337  0.9489  1 Te 1.88, 1 Hg 2.04
O  0.9663  0.1621  0.5511  1 Te 1.88, 1 Hg 2.04
F  0.0726  0.5780  0.6041  1 Te 1.86
F  0.0757  0.3014  0.8066  1 Te 1.86
F  0.1866  0.6504  0.0699  1 Te 1.88
F  0.2171  0.4085  0.2245  1 Te 1.85
F  0.3014  0.0757  0.3066  1 Te 1.86
F  0.3341  0.5333  0.4802  1 Te 1.87
F  0.3496  0.8134  0.4301  1 Te 1.88
F  0.4085  0.2171  0.7245  1 Te 1.85
F  0.4220  0.9274  0.8959  1 Te 1.86
F  0.4667  0.6659  0.0198  1 Te 1.87
F  0.5333  0.3341  0.9802  1 Te 1.87
F  0.5780  0.0726  0.1041  1 Te 1.86
F  0.5915  0.7829  0.2755  1 Te 1.85
F  0.6504  0.1866  0.5699  1 Te 1.88
F  0.6659  0.4667  0.5198  1 Te 1.87
F  0.6986  0.9243  0.6934  1 Te 1.86
F  0.7829  0.5915  0.7755  1 Te 1.85
F  0.8134  0.3496  0.9301  1 Te 1.88
F  0.9243  0.6986  0.1934  1 Te 1.86
F  0.9274  0.4220  0.3959  1 Te 1.86

## Properties
uncorrected energy: -127.23 eV/cell
raw formation energy: -1.7480 eV/atom

---

Material: TiHgOF2
Method: DFT, PBEsol
State: relaxed

abc: 4.4634 4.4634 4.1659
angles: 90.00 90.00 90.00
Closest atoms and distances in Å follow each position.
Atoms (fractional coordinates):
Ti  0.0000  0.0000  0.0000  8 F 3.05, 4 O 3.16
Hg  0.5000  0.5000  0.5000  2 O 2.08, 4 F 2.23
O  0.5000  0.5000  0.0000  2 Hg 2.08
F  0.0000  0.5000  0.5000  2 Hg 2.23
F  0.5000  0.0000  0.5000  2 Hg 2.23

## Properties
uncorrected energy: -20.67 eV/cell
raw formation energy: -0.5362 eV/atom

---

Material: YHgO2F
Method: DFT, PBEsol
State: relaxed

abc: 4.3845 4.3845 4.2034
angles: 90.00 90.00 90.00
Closest atoms and distances in Å follow each position.
Atoms (fractional coordinates):
Y  0.0000  0.0000  0.0000  2 F 2.10, 4 O 2.19
Hg  0.5000  0.5000  0.5000  8 O 3.04, 4 F 3.10
O  0.0000  0.5000  0.0000  2 Y 2.19
O  0.5000  0.0000  0.0000  2 Y 2.19
F  0.0000  0.0000  0.5000  2 Y 2.10

## Properties
uncorrected energy: -29.35 eV/cell
raw formation energy: -1.9063 eV/atom

---

Material: Zn2Hg2OF6
Method: DFT, PBEsol
State: relaxed

abc: 7.3780 7.3780 7.3780
angles: 60.00 60.00 60.00
Closest atoms and distances in Å follow each position.
Atoms (fractional coordinates):
Zn  0.0000  0.0000  0.0000  6 F 2.01
Zn  0.0000  0.0000  0.5000  6 F 2.01
Zn  0.0000  0.5000  0.0000  6 F 2.01
Zn  0.5000  0.0000  0.0000  6 F 2.01
Hg  0.0000  0.5000  0.5000  2 O 2.26
Hg  0.5000  0.0000  0.5000  2 O 2.26
Hg  0.5000  0.5000  0.0000  2 O 2.26
Hg  0.5000  0.5000  0.5000  2 O 2.26
O  0.3750  0.3750  0.3750  4 Hg 2.26
O  0.6250  0.6250  0.6250  4 Hg 2.26
F  0.0761  0.0761  0.6739  2 Zn 2.01
F  0.0761  0.6739  0.0761  2 Zn 2.01
F  0.0761  0.6739  0.6739  2 Zn 2.01
F  0.3261  0.3261  0.9239  2 Zn 2.01
F  0.3261  0.9239  0.3261  2 Zn 2.01
F  0.3261  0.9239  0.9239  2 Zn 2.01
F  0.6739  0.0761  0.0761  2 Zn 2.01
F  0.6739  0.0761  0.6739  2 Zn 2.01
F  0.6739  0.6739  0.0761  2 Zn 2.01
F  0.9239  0.3261  0.3261  2 Zn 2.01
F  0.9239  0.3261  0.9239  2 Zn 2.01
F  0.9239  0.9239  0.3261  2 Zn 2.01

## Properties
uncorrected energy: -80.44 eV/cell
raw formation energy: -1.7371 eV/atom

---

Material: Hg3OsF
Method: DFT, PBEsol
State: relaxed

abc: 5.1732 5.1732 5.1732
angles: 90.00 90.00 90.00
Closest atoms and distances in Å follow each position.
Atoms (fractional coordinates):
Hg  0.0000  0.0000  0.5000  2 Os 2.59
Hg  0.0000  0.5000  0.0000  2 Os 2.59
Hg  0.5000  0.0000  0.0000  2 Os 2.59
Os  0.0000  0.0000  0.0000  6 Hg 2.59
F  0.5000  0.5000  0.5000  12 Hg 3.66

## Properties
uncorrected energy: -12.67 eV/cell
raw formation energy: 0.6343 eV/atom

---

Material: HgOs2SF
Method: DFT, PBEsol
State: relaxed

abc: 4.0959 4.0959 4.9577
angles: 90.00 90.00 90.00
Closest atoms and distances in Å follow each position.
Atoms (fractional coordinates):
Hg  0.0000  0.0000  0.0000  2 F 2.48
Os  0.0000  0.5000  0.5000  2 F 2.05
Os  0.5000  0.0000  0.5000  2 F 2.05
S  0.5000  0.5000  0.0000  4 Hg 2.90, 8 Os 3.22
F  0.0000  0.0000  0.5000  4 Os 2.05

## Properties
uncorrected energy: -22.96 eV/cell
raw formation energy: 1.6709 eV/atom

---

Material: HgPF3
Method: DFT, PBEsol
State: relaxed

abc: 4.4457 4.4457 4.4457
angles: 90.00 90.00 90.00
Closest atoms and distances in Å follow each position.
Atoms (fractional coordinates):
Hg  0.0000  0.0000  0.0000  6 F 2.22
P  0.5000  0.5000  0.5000  12 F 3.14
F  0.0000  0.0000  0.5000  2 Hg 2.22
F  0.0000  0.5000  0.0000  2 Hg 2.22
F  0.5000  0.0000  0.0000  2 Hg 2.22

## Properties
uncorrected energy: -13.85 eV/cell
raw formation energy: -0.3428 eV/atom

---

Material: Hg3PdF
Method: DFT, PBEsol
State: relaxed

abc: 4.6641 4.6641 4.6641
angles: 90.00 90.00 90.00
Closest atoms and distances in Å follow each position.
Atoms (fractional coordinates):
Hg  0.0000  0.0000  0.5000  2 F 2.33
Hg  0.0000  0.5000  0.0000  2 F 2.33
Hg  0.5000  0.0000  0.0000  2 F 2.33
Pd  0.5000  0.5000  0.5000  12 Hg 3.30
F  0.0000  0.0000  0.0000  6 Hg 2.33

## Properties
uncorrected energy: -8.79 eV/cell
raw formation energy: 0.1598 eV/atom

---

Material: HgPdF4
Method: DFT, PBEsol
State: relaxed

abc: 5.5725 5.4248 5.4827
angles: 90.00 92.51 90.00
Closest atoms and distances in Å follow each position.
Atoms (fractional coordinates):
Hg  0.0000  0.0000  0.0000  6 F 2.21-2.45
Hg  0.0000  0.5000  0.5000  6 F 2.21-2.45
Pd  0.5000  0.0000  0.5000  6 F 2.14-2.19
Pd  0.5000  0.5000  0.0000  6 F 2.14-2.19
F  0.1734  0.1649  0.3625  1 Pd 2.14, 2 Hg 2.21-2.35
F  0.1734  0.3351  0.8625  1 Pd 2.14, 2 Hg 2.21-2.35
F  0.3359  0.6913  0.2969  2 Pd 2.17-2.19
F  0.3359  0.8087  0.7969  2 Pd 2.17-2.19
F  0.6641  0.1913  0.2031  2 Pd 2.17-2.19
F  0.6641  0.3087  0.7031  2 Pd 2.17-2.19
F  0.8266  0.6649  0.1375  1 Pd 2.14, 2 Hg 2.21-2.35
F  0.8266  0.8351  0.6375  1 Pd 2.14, 2 Hg 2.21-2.35

## Properties
uncorrected energy: -42.83 eV/cell
raw formation energy: -1.1970 eV/atom

---

Material: Rb2HgPdF6
Method: DFT, PBEsol
State: relaxed

abc: 6.2328 6.2328 6.2328
angles: 60.00 60.00 60.00
Closest atoms and distances in Å follow each position.
Atoms (fractional coordinates):
Rb  0.2500  0.2500  0.2500  12 F 3.12
Rb  0.7500  0.7500  0.7500  12 F 3.12
Hg  0.0000  0.0000  0.0000  6 F 2.33
Pd  0.5000  0.5000  0.5000  6 F 2.08
F  0.2640  0.2640  0.7360  1 Pd 2.08, 1 Hg 2.33
F  0.2640  0.7360  0.2640  1 Pd 2.08, 1 Hg 2.33
F  0.2640  0.7360  0.7360  1 Pd 2.08, 1 Hg 2.33
F  0.7360  0.2640  0.2640  1 Pd 2.08, 1 Hg 2.33
F  0.7360  0.2640  0.7360  1 Pd 2.08, 1 Hg 2.33
F  0.7360  0.7360  0.2640  1 Pd 2.08, 1 Hg 2.33

## Properties
uncorrected energy: -39.06 eV/cell
raw formation energy: -1.8916 eV/atom

---

Material: Rb3HgF
Method: DFT, PBEsol
State: relaxed

abc: 5.6231 5.6231 5.6231
angles: 90.00 90.00 90.00
Closest atoms and distances in Å follow each position.
Atoms (fractional coordinates):
Rb  0.0000  0.0000  0.5000  2 F 2.81
Rb  0.0000  0.5000  0.0000  2 F 2.81
Rb  0.5000  0.0000  0.0000  2 F 2.81
Hg  0.5000  0.5000  0.5000  12 Rb 3.98
F  0.0000  0.0000  0.0000  6 Rb 2.81

## Properties
uncorrected energy: -11.00 eV/cell
raw formation energy: -1.0854 eV/atom

---

Material: Rb2HgRhF6
Method: DFT, PBEsol
State: relaxed

abc: 6.2082 6.2082 6.2082
angles: 60.00 60.00 60.00
Closest atoms and distances in Å follow each position.
Atoms (fractional coordinates):
Rb  0.2500  0.2500  0.2500  12 F 3.11
Rb  0.7500  0.7500  0.7500  12 F 3.11
Hg  0.0000  0.0000  0.0000  6 F 2.37
Rh  0.5000  0.5000  0.5000  6 F 2.02
F  0.2703  0.2703  0.7297  1 Rh 2.02
F  0.2703  0.7297  0.2703  1 Rh 2.02
F  0.2703  0.7297  0.7297  1 Rh 2.02
F  0.7297  0.2703  0.2703  1 Rh 2.02
F  0.7297  0.2703  0.7297  1 Rh 2.02
F  0.7297  0.7297  0.2703  1 Rh 2.02

## Properties
uncorrected energy: -41.63 eV/cell
raw formation energy: -1.9314 eV/atom

---

Material: Rb2HgRuF6
Method: DFT, PBEsol
State: relaxed

abc: 6.6482 6.6482 6.6482
angles: 60.00 60.00 60.00
Closest atoms and distances in Å follow each position.
Atoms (fractional coordinates):
Rb  0.2500  0.2500  0.2500  12 F 3.35
Rb  0.7500  0.7500  0.7500  12 F 3.35
Hg  0.0000  0.0000  0.0000  6 F 2.77
Ru  0.5000  0.5000  0.5000  6 F 1.93
F  0.2948  0.2948  0.7052  1 Ru 1.93
F  0.2948  0.7052  0.2948  1 Ru 1.93
F  0.2948  0.7052  0.7052  1 Ru 1.93
F  0.7052  0.2948  0.2948  1 Ru 1.93
F  0.7052  0.2948  0.7052  1 Ru 1.93
F  0.7052  0.7052  0.2948  1 Ru 1.93

## Properties
uncorrected energy: -44.10 eV/cell
raw formation energy: -1.9743 eV/atom

---

Material: ReHg3F
Method: DFT, PBEsol
State: relaxed

abc: 5.2753 5.2753 5.2753
angles: 90.00 90.00 90.00
Closest atoms and distances in Å follow each position.
Atoms (fractional coordinates):
Re  0.0000  0.0000  0.0000  6 Hg 2.64
Hg  0.0000  0.0000  0.5000  2 Re 2.64
Hg  0.0000  0.5000  0.0000  2 Re 2.64
Hg  0.5000  0.0000  0.0000  2 Re 2.64
F  0.5000  0.5000  0.5000  12 Hg 3.73

## Properties
uncorrected energy: -13.10 eV/cell
raw formation energy: 0.7711 eV/atom

---

Material: ReHgF3
Method: DFT, PBEsol
State: relaxed

abc: 4.1811 4.1811 4.1811
angles: 90.00 90.00 90.00
Closest atoms and distances in Å follow each position.
Atoms (fractional coordinates):
Re  0.0000  0.0000  0.0000  6 F 2.09
Hg  0.5000  0.5000  0.5000  12 F 2.96
F  0.0000  0.0000  0.5000  2 Re 2.09
F  0.0000  0.5000  0.0000  2 Re 2.09
F  0.5000  0.0000  0.0000  2 Re 2.09

## Properties
uncorrected energy: -23.71 eV/cell
raw formation energy: -0.8055 eV/atom

---

Material: HgRhF6
Method: DFT, PBEsol
State: relaxed

abc: 5.6897 5.6897 5.6897
angles: 53.56 53.56 53.56
Closest atoms and distances in Å follow each position.
Atoms (fractional coordinates):
Hg  0.0000  0.0000  0.0000  6 F 2.31
Rh  0.5000  0.5000  0.5000  6 F 1.91
F  0.1074  0.7124  0.4507  1 Rh 1.91
F  0.2876  0.5493  0.8926  1 Rh 1.91
F  0.4507  0.1074  0.7124  1 Rh 1.91
F  0.5493  0.8926  0.2876  1 Rh 1.91
F  0.7124  0.4507  0.1074  1 Rh 1.91
F  0.8926  0.2876  0.5493  1 Rh 1.91

## Properties
uncorrected energy: -32.07 eV/cell
raw formation energy: -1.4749 eV/atom

---

Material: HgSF3
Method: DFT, PBEsol
State: relaxed

abc: 4.4303 4.4303 4.4303
angles: 90.00 90.00 90.00
Closest atoms and distances in Å follow each position.
Atoms (fractional coordinates):
Hg  0.0000  0.0000  0.0000  6 F 2.22
S  0.5000  0.5000  0.5000  12 F 3.13
F  0.0000  0.0000  0.5000  2 Hg 2.22
F  0.0000  0.5000  0.0000  2 Hg 2.22
F  0.5000  0.0000  0.0000  2 Hg 2.22

## Properties
uncorrected energy: -12.93 eV/cell
raw formation energy: -0.4387 eV/atom

---

Material: Hg2SbTeF
Method: DFT, PBEsol
State: relaxed

abc: 5.5032 5.5032 4.2184
angles: 90.00 90.00 90.00
Closest atoms and distances in Å follow each position.
Atoms (fractional coordinates):
Hg  0.0000  0.5000  0.0000  2 Sb 2.75
Hg  0.5000  0.0000  0.0000  2 Sb 2.75
Sb  0.0000  0.0000  0.0000  2 F 2.11
Te  0.5000  0.5000  0.5000  8 Hg 3.47
F  0.0000  0.0000  0.5000  2 Sb 2.11

## Properties
uncorrected energy: -13.25 eV/cell
raw formation energy: -0.4209 eV/atom

---

Material: HgSbTe2F
Method: DFT, PBEsol
State: relaxed

abc: 5.3436 5.3436 4.3708
angles: 90.00 90.00 90.00
Closest atoms and distances in Å follow each position.
Atoms (fractional coordinates):
Hg  0.0000  0.0000  0.0000  8 Te 3.45, 4 Sb 3.78
Sb  0.5000  0.5000  0.0000  2 F 2.19
Te  0.0000  0.5000  0.5000  2 F 2.67
Te  0.5000  0.0000  0.5000  2 F 2.67
F  0.5000  0.5000  0.5000  2 Sb 2.19

## Properties
uncorrected energy: -14.29 eV/cell
raw formation energy: -0.0378 eV/atom